Arrangement P

Ag2BiBr | the Alexandria database | PBE-GGA | relaxed; spin magnetization = 1.7 Bohr magnetons per cell; DOS at the Fermi energy = 4.00 states/eV/cell
1.0
0.0000 3.6780 3.6780
3.6780 0.0000 3.6780
3.6780 3.6780 0.0000
Bi Ag Br
1 2 1
Cartesian
3.6780 3.6780 3.6780
1.8390 1.8390 1.8390
5.5170 5.5170 5.5170
0.0000 0.0000 0.0000

Arrangement Q

Ag2BiBr | the Alexandria database | PBE-GGA | relaxed; spin magnetization = 0.0 Bohr magnetons per cell; DOS at the Fermi energy = 1.99 states/eV/cell
1.0
7.2607 0.0000 0.0000
0.0000 7.2607 0.0000
3.6304 3.6304 4.5263
Br Ag Bi
2 4 2
Cartesian
3.6304 3.6304 0.0000
3.6304 7.2607 2.2632
5.3928 1.8152 1.1316
1.8680 5.4456 1.1316
9.0759 9.0232 3.3948
5.4456 5.4983 3.3948
7.2607 3.6304 2.2632
0.0000 0.0000 0.0000

Which is the most stable structure? arrangement Q is the most stable.

Arrangement P

AgBiBr2 | the Alexandria database | PBE-GGA | relaxed; spin magnetization = 0.0 Bohr magnetons per cell; DOS at the Fermi energy = 2.76 states/eV/cell
1.0
0.0000 3.7574 3.7574
3.7574 0.0000 3.7574
3.7574 3.7574 0.0000
Ag Bi Br
1 1 2
Cartesian
0.0000 0.0000 0.0000
3.7574 3.7574 3.7574
5.6361 5.6361 5.6361
1.8787 1.8787 1.8787

Arrangement Q

AgBiBr2 | the Alexandria database | PBE-GGA | relaxed; spin magnetization = 0.0 Bohr magnetons per cell; DOS at the Fermi energy = 2.01 states/eV/cell
1.0
8.0309 0.0000 0.0000
0.0000 8.0309 0.0000
4.0155 4.0155 3.5169
Ag Br Bi
2 4 2
Cartesian
4.0155 8.0309 1.7585
4.0155 4.0155 0.0000
5.8931 2.0077 0.8792
6.0232 6.1533 2.6377
2.1378 6.0232 0.8792
10.0386 9.9085 2.6377
8.0309 4.0155 1.7585
0.0000 0.0000 0.0000

Arrangement R

AgBiBr2 | the Alexandria database | PBE-GGA | relaxed; spin magnetization = 0.0 Bohr magnetons per cell; DOS at the Fermi energy = 0.66 states/eV/cell
1.0
2.2307 0.0000 9.2759
-1.1153 1.9318 9.2759
-1.1153 -1.9318 9.2759
Br Ag Bi
2 1 1
Cartesian
0.0000 0.0000 24.9555
0.0000 0.0000 2.8723
0.0000 0.0000 13.9139
0.0000 0.0000 0.0000

Which is the most stable structure? arrangement R is the most stable.

Arrangement P

AgBiBr3 | the Alexandria database | PBE-GGA | relaxed; spin magnetization = 0.1 Bohr magnetons per cell; DOS at the Fermi energy = 4.05 states/eV/cell
1.0
5.7826 0.0000 0.0000
0.0000 5.7826 0.0000
0.0000 0.0000 5.7826
Br Bi Ag
3 1 1
Cartesian
0.0000 2.8913 0.0000
0.0000 0.0000 2.8913
2.8913 0.0000 0.0000
0.0000 0.0000 0.0000
2.8913 2.8913 2.8913

Arrangement Q

AgBiBr3 | the Alexandria database | PBE-GGA | relaxed; spin magnetization = 0.0 Bohr magnetons per cell; DOS at the Fermi energy = 4.47 states/eV/cell
1.0
6.7092 0.0000 -0.0118
0.0000 8.0086 0.0000
-0.5531 0.0000 13.1792
Br Ag Bi
12 4 4
Cartesian
4.3506 6.5258 5.2265
0.7195 5.4871 11.8221
0.9994 7.4893 3.1837
5.4366 2.5215 1.3453
1.7284 1.6303 12.1132
4.0774 4.5237 9.7674
4.4277 6.3783 1.0542
1.8055 1.4828 7.9408
5.1568 0.5194 9.9837
5.3595 2.3740 5.5177
0.7966 5.6347 7.6497
2.0787 3.4849 3.4000
4.2042 2.7175 11.9169
1.9520 5.2911 1.2505
1.1261 1.2868 5.3332
5.0300 6.7218 7.8341
3.6088 0.8729 3.9487
-0.0224 3.1314 10.5442
2.5474 7.1358 9.2187
6.1785 4.8772 2.6232

Which is the most stable structure? arrangement Q is the most stable.

Arrangement P

AgBi2C2 | the Alexandria database | PBE-GGA | relaxed; spin magnetization = 0.0 Bohr magnetons per cell; DOS at the Fermi energy = 1.98 states/eV/cell
1.0
-4.4213 -2.8132 1.0229
-0.2555 -1.4632 -5.1285
-0.4704 -4.8288 -1.3782
C Bi Ag
2 2 1
Cartesian
-3.1761 -6.4378 -3.5637
-1.9710 -2.6673 -1.9201
-3.6150 -4.8901 -1.2040
-1.5322 -4.2151 -4.2798
0.0000 0.0000 0.0000

Arrangement Q

AgBi2C2 | the Alexandria database | PBE-GGA | relaxed; spin magnetization = 0.0 Bohr magnetons per cell; DOS at the Fermi energy = 2.79 states/eV/cell
1.0
-3.0975 -4.6391 -4.5816
-1.1498 -4.6042 5.4394
-3.1743 1.5153 0.6117
Bi C Ag
4 4 2
Cartesian
-4.5993 -6.1717 1.8406
-4.5755 -4.6950 -1.6942
-2.8460 -3.0330 3.1636
-2.8222 -1.5563 -0.3712
-1.8934 -5.1715 2.9860
-0.9441 -2.3087 0.8200
-3.3032 -6.9346 0.0378
-2.3539 -4.0718 -2.1282
0.0000 0.0000 0.0000
-2.1236 -4.6217 0.4289

Which is the most stable structure? arrangement P is the most stable.

Arrangement P

AgBi2SbC | the Alexandria database | PBE-GGA | relaxed; spin magnetization = 0.9 Bohr magnetons per cell; DOS at the Fermi energy = 4.36 states/eV/cell
1.0
5.5404 0.0000 0.0000
0.0000 5.2848 0.0000
0.0000 0.0000 5.5404
Sb C Bi Ag
1 1 2 1
Cartesian
0.0000 2.6424 0.0000
2.7702 2.6424 2.7702
0.0000 0.0000 2.7702
2.7702 0.0000 0.0000
0.0000 0.0000 0.0000

Arrangement Q

AgBi2SbC | the Alexandria database | PBE-GGA | relaxed; spin magnetization = 0.0 Bohr magnetons per cell; DOS at the Fermi energy = 1.68 states/eV/cell
1.0
5.2436 0.0000 0.0000
0.0000 4.2728 0.0000
0.0000 0.0000 5.2436
C Ag Bi Sb
1 1 2 1
Cartesian
0.0000 0.0000 0.0000
0.0000 2.1364 0.0000
0.0000 0.0000 2.6218
2.6218 0.0000 0.0000
2.6218 2.1364 2.6218

Which is the most stable structure? arrangement Q is the most stable.

Arrangement P

Ca3AgBi | the Alexandria database | PBE-GGA | relaxed; spin magnetization = 0.0 Bohr magnetons per cell; DOS at the Fermi energy = 3.49 states/eV/cell
1.0
-4.7721 3.5842 -0.3761
-0.2886 -1.0022 -5.8884
-3.5923 -4.6808 0.9728
Bi Ca Ag
1 3 1
Cartesian
0.0000 0.0000 0.0000
-2.3861 1.7921 -0.1881
-0.1443 -0.5011 -2.9442
-1.7962 -2.3404 0.4864
-4.3265 -1.0494 -2.6459

Arrangement Q

Ca3AgBi | the Alexandria database | PBE-GGA | relaxed; spin magnetization = 0.0 Bohr magnetons per cell; DOS at the Fermi energy = 13.28 states/eV/cell
1.0
6.8112 0.0000 0.0000
0.0000 9.0006 0.2290
0.0000 -1.1424 10.5333
Ca Ag Bi
12 4 4
Cartesian
3.9212 6.1197 4.5301
0.0897 -0.0583 7.9795
0.5156 2.3097 0.9655
3.3159 0.5129 2.7128
0.9795 5.1306 6.4201
4.3851 2.1564 9.6088
6.7215 7.9165 2.7828
2.4261 5.7018 1.1535
6.2955 5.5485 9.7968
3.4953 7.3454 8.0495
5.8316 2.7276 4.3422
2.8899 1.7385 6.2322
1.4984 8.0898 5.4997
4.9040 -0.8028 10.5292
1.9072 8.6610 0.2331
5.3127 -0.2316 5.2626
4.6414 4.4100 7.1178
1.2358 2.8771 8.9112
5.5753 4.9812 1.8511
2.1698 3.4483 3.6445

Which is the most stable structure? arrangement Q is the most stable.

Arrangement P

Cd2Ag2Bi | the Alexandria database | PBE-GGA | relaxed; spin magnetization = 0.0 Bohr magnetons per cell; DOS at the Fermi energy = 1.84 states/eV/cell
1.0
4.0005 0.0000 0.0000
0.0000 4.0005 0.0000
2.0002 2.0002 7.4609
Ag Cd Bi
2 2 1
Cartesian
4.0005 2.0002 3.7304
2.0002 4.0005 3.7304
2.0002 2.0002 1.5974
4.0005 4.0005 5.8635
0.0000 0.0000 0.0000

Arrangement Q

Cd2Ag2Bi | the Alexandria database | PBE-GGA | relaxed; spin magnetization = 0.0 Bohr magnetons per cell; DOS at the Fermi energy = 2.23 states/eV/cell
1.0
-0.2374 -0.2030 -4.0545
-3.4413 -2.1444 0.3089
-5.5700 4.8015 -1.9536
Ag Cd Bi
2 2 1
Cartesian
-2.5845 0.0197 -1.8889
-6.6643 2.4343 -3.8102
-3.8234 1.7124 -3.9404
-5.4254 0.7417 -1.7587
0.0000 0.0000 0.0000

Which is the most stable structure? arrangement Q is the most stable.

Arrangement P

CdAg3Bi | the Alexandria database | PBE-GGA | relaxed; spin magnetization = 0.0 Bohr magnetons per cell; DOS at the Fermi energy = 0.01 states/eV/cell
1.0
-3.9634 -3.4127 -1.5880
1.9119 -3.8116 3.4195
-3.2424 1.9241 3.9575
Bi Ag Cd
1 3 1
Cartesian
0.0000 0.0000 0.0000
-1.9817 -1.7063 -0.7940
0.9559 -1.9058 1.7098
-1.6212 0.9620 1.9787
-2.6470 -2.6501 2.8945

Arrangement Q

CdAg3Bi | the Alexandria database | PBE-GGA | relaxed; spin magnetization = 0.0 Bohr magnetons per cell; DOS at the Fermi energy = 3.83 states/eV/cell
1.0
-2.4366 -4.9292 -1.0102
2.1216 0.3036 -6.5969
4.0224 -2.9737 4.8048
Cd Bi Ag
2 2 6
Cartesian
-1.2183 -2.4646 -0.5051
0.0000 0.0000 0.0000
0.9283 -4.4855 -3.5539
2.7791 -3.1139 0.7518
1.0442 -1.7053 -1.9311
1.8145 -6.0154 1.7664
0.2062 -4.8260 -0.1546
3.5011 -2.7732 -2.6477
2.6631 -5.8939 -0.8713
1.8927 -1.5838 -4.5687

Which is the most stable structure? arrangement Q is the most stable.